(1)
This record from the Alexandria database describes a relaxed structure of ThCo2Cu. The functional is PBE-GGA.

a = 3.6836 Å, b = 4.0909 Å, c = 4.0909 Å
α = 90.00°, β = 90.00°, γ = 90.00°
Element x y z (fractional)
Co  0.0000  0.0000  0.5000
Co  0.0000  0.5000  0.0000
Cu  0.5000  0.5000  0.5000
Th  0.5000  0.0000  0.0000

The value obtained for the formation energy from the elements is -0.05 eV/atom. The value obtained for the total energy is -25.93 eV per cell. For the density of states at the Fermi level, the calculation gives 1.25 states/eV per atom. Its space-group type is P4/mmm, No. 123. The calculation puts the total magnetic moment at 0.38 μB per formula unit.

=====

(2)
This record from the Alexandria database describes a relaxed structure of Dy2Ga6Au3. The functional is PBE-GGA.

a = 4.1439 Å, b = 7.8555 Å, c = 7.8555 Å
α = 120.00°, β = 90.00°, γ = 90.00°
Element x y z (fractional)
Dy  0.0000  0.6667  0.3333
Dy  0.0000  0.3333  0.6667
Ga  0.5000  0.6978  0.6978
Ga  0.5000  0.0000  0.3022
Ga  0.0000  0.1883  0.1883
Ga  0.0000  0.8117  0.0000
Ga  0.5000  0.3022  0.0000
Ga  0.0000  0.0000  0.8117
Au  0.5000  0.3772  0.3772
Au  0.5000  0.6228  0.0000
Au  0.5000  0.0000  0.6228

The value obtained for the formation energy from the elements is -0.51 eV/atom. The value obtained for the total energy is -42.86 eV per cell. For the density of states at the Fermi level, the calculation gives 0.22 states/eV per atom. Its space-group type is P-62m, No. 189. The calculation puts the total magnetic moment at 0.00 μB per formula unit.